A relaxed structure of KEr3F10, computed with GGA-PBE.

a = 8.1653 Å, b = 8.1653 Å, c = 27.1214 Å
α = 81.34°, β = 81.34°, γ = 60.00°
Positions (direct):
1 F 0.1789 0.8493 0.9335
2 F 0.1135 0.1135 0.1405
3 F 0.9867 0.9867 0.8513
4 F 0.7517 0.7517 0.2254
5 F 0.1285 0.4586 0.7643
6 F 0.3486 0.0191 0.4335
7 F 0.7116 0.7116 0.0159
8 F 0.2995 0.2995 0.0306
9 F 0.5837 0.5837 0.2807
10 F 0.0192 0.6784 0.4335
11 F 0.8632 0.4168 0.3367
12 F 0.9251 0.2707 0.6835
13 F 0.7163 0.2664 0.7811
14 F 0.0016 0.0016 0.4745
15 F 0.2666 0.5957 0.3511
16 F 0.3988 0.3988 0.8365
17 F 0.4309 0.4309 0.5159
18 F 0.2667 0.2667 0.3512
19 F 0.1285 0.1285 0.7643
20 F 0.7726 0.4271 0.1835
21 F 0.2395 0.5694 0.1028
22 F 0.9457 0.9457 0.6417
23 F 0.8631 0.8631 0.3367
24 F 0.7725 0.0976 0.1835
25 F 0.8493 0.1789 0.9335
26 F 0.4269 0.0979 0.1836
27 F 0.0322 0.5836 0.2807
28 F 0.1823 0.8489 0.2666
29 F 0.5151 0.8483 0.6003
30 F 0.1137 0.1137 0.5864
31 F 0.4168 0.8632 0.3367
32 F 0.6957 0.6957 0.3926
33 F 0.1688 0.1688 0.9749
34 F 0.3487 0.6783 0.4336
35 F 0.8483 0.5151 0.6003
36 F 0.9869 0.6558 0.8513
37 F 0.9819 0.9819 0.0859
38 F 0.1822 0.1822 0.2667
39 F 0.0976 0.7725 0.1835
40 F 0.1018 0.4308 0.5159
41 F 0.6783 0.3487 0.4336
42 F 0.6653 0.1136 0.5864
43 F 0.6558 0.9869 0.8513
44 F 0.2707 0.9251 0.6835
45 F 0.2803 0.8342 0.5304
46 F 0.4317 0.9818 0.0860
47 F 0.5150 0.5150 0.6005
48 F 0.5836 0.0322 0.2807
49 F 0.5999 0.2706 0.6836
50 F 0.8342 0.2803 0.5304
51 F 0.4308 0.1018 0.5159
52 F 0.5843 0.5843 0.7266
53 F 0.2706 0.5999 0.6836
54 F 0.5695 0.5695 0.1027
55 F 0.0979 0.4269 0.1836
56 F 0.0191 0.3486 0.4335
57 F 0.9818 0.4317 0.0860
58 F 0.4271 0.7726 0.1835
59 F 0.5296 0.5296 0.8922
60 F 0.8341 0.8341 0.5304
61 F 0.7163 0.7163 0.7811
62 F 0.1136 0.6653 0.5864
63 F 0.8465 0.3988 0.8365
64 F 0.7116 0.0425 0.0159
65 F 0.0425 0.7116 0.0159
66 F 0.5957 0.2666 0.3511
67 F 0.2664 0.7163 0.7811
68 F 0.8491 0.5197 0.9336
69 F 0.8517 0.2996 0.0306
70 F 0.5694 0.2395 0.1028
71 F 0.9251 0.5999 0.6835
72 F 0.3988 0.8465 0.8365
73 F 0.4586 0.1285 0.7643
74 F 0.8489 0.1823 0.2666
75 F 0.5197 0.8491 0.9336
76 F 0.6784 0.0192 0.4335
77 F 0.5197 0.1788 0.9336
78 F 0.5999 0.9251 0.6835
79 F 0.1788 0.5197 0.9336
80 F 0.2996 0.8517 0.0306
81 Er 0.5435 0.0240 0.3688
82 Er 0.1538 0.6733 0.4983
83 Er 0.2803 0.2803 0.1185
84 Er 0.2803 0.8021 0.1185
85 Er 0.5435 0.5435 0.3688
86 Er 0.4177 0.8959 0.7486
87 Er 0.9049 0.9049 0.2487
88 Er 0.8021 0.2803 0.1185
89 Er 0.1538 0.1538 0.4983
90 Er 0.7925 0.2755 0.6184
91 Er 0.4218 0.9049 0.2487
92 Er 0.6733 0.1538 0.4983
93 Er 0.0005 0.4819 0.9984
94 Er 0.2165 0.6978 0.8687
95 Er 0.0240 0.5435 0.3688
96 Er 0.6978 0.2165 0.8687
97 Er 0.2755 0.7925 0.6184
98 Er 0.7925 0.7925 0.6183
99 Er 0.4819 0.0005 0.9984
100 Er 0.6978 0.6978 0.8687
101 Er 0.4176 0.4176 0.7486
102 Er 0.9049 0.4218 0.2487
103 Er 0.0006 0.0006 0.9984
104 Er 0.8959 0.4177 0.7486
105 K 0.4105 0.4105 0.2488
106 K 0.0362 0.0362 0.3711
107 K 0.4953 0.4953 0.9957
108 K 0.9116 0.9116 0.7451
109 K 0.7865 0.7865 0.1220
110 K 0.2869 0.2869 0.6182
111 K 0.6610 0.6610 0.4960
112 K 0.2031 0.2031 0.8714

Values from the calculation:
Density of states at the Fermi level, states/eV/cell: 0.0
Electronic total energy, eV/atom: -6.3977
Size of the total moment, μB/atom: 0.011